(1)
A geometry-optimized Ho2Th4Sc structure, computed with PBE.

The structure in extended XYZ format:
```
7
Lattice="8.142 0.000 0.000 0.000 8.142 0.000 0.000 0.000 3.453" Properties=species:S:1:pos:R:3 pbc="T T T"
Ho 0.000 4.071 0.000
Ho 4.071 0.000 0.000
Th 1.709 1.709 1.727
Th 1.709 6.433 1.727
Th 6.433 1.709 1.727
Th 6.433 6.433 1.727
Sc 4.071 4.071 1.727
```

Calculated values
- space-group type = No. 123
- density (g cm⁻³) = 9.45
- calculated formation energy (meV/atom) = 430
- ΔE to the lowest computed polymorph (meV/atom) = 0
- uncorrected energy (eV/atom) = -6.023

---

(2)
A geometry-optimized VSiGe3 structure, computed with PBE.

The structure in extended XYZ format:
```
5
Lattice="4.737 0.000 0.000 0.000 4.737 0.000 0.000 0.000 4.737" Properties=species:S:1:pos:R:3 pbc="T T T"
V 0.000 0.000 0.000
Si 2.368 2.368 2.368
Ge 0.000 2.368 2.368
Ge 2.368 0.000 2.368
Ge 2.368 2.368 0.000
```

Calculated values
- space-group type = No. 221
- formation energy (no corrections) (eV per atom) = 0.94
- density (g cm⁻³) = 4.64
- ΔE to the lowest computed polymorph (meV/atom) = 310
- uncorrected energy (eV/atom) = -4.742